# PBE NdZn2BRh2, optimized geometry
# - Energy relative to the elements: -0.5609 eV per atom
# - Theoretical density: 8.3 g/cm3
data_NdZn2BRh2
_chemical_formula_sum 'Nd1 Zn2 B1 Rh2'
_space_group_name_H-M_alt 'P 4/m m m'
_space_group_IT_number 123
_space_group_name_Hall '-P 4 2'
_cell_length_a 4.1478
_cell_length_b 4.1478
_cell_length_c 5.6948
_cell_angle_alpha 90.00
_cell_angle_beta 90.00
_cell_angle_gamma 90.00
loop_
_atom_site_label
_atom_site_fract_x
_atom_site_fract_y
_atom_site_fract_z
_atom_site_occupancy
Nd1 0.0000 0.0000 0.0000 1
Zn1 0.5000 0.5000 0.2208 1
B1 0.0000 0.0000 0.5000 1
Rh1 0.0000 0.5000 0.5000 1

# PBE PrAg5Cl8, optimized geometry
# - ΔE_f (raw): -930 meV per atom
# - Theoretical density: 4.7 g/cm3
data_PrAg5Cl8
_chemical_formula_sum 'Pr2 Ag10 Cl16'
_space_group_name_H-M_alt 'I -4'
_space_group_IT_number 82
_cell_length_a 9.0524
_cell_length_b 9.0524
_cell_length_c 8.3004
_cell_angle_alpha 90.00
_cell_angle_beta 90.00
_cell_angle_gamma 90.00
loop_
_space_group_symop_operation_xyz
'x,y,z'
'y,-x,-z'
'-x,-y,z'
'-y,x,-z'
'x+1/2,y+1/2,z+1/2'
'y+1/2,-x+1/2,-z+1/2'
'-x+1/2,-y+1/2,z+1/2'
'-y+1/2,x+1/2,-z+1/2'
loop_
_atom_site_label
_atom_site_fract_x
_atom_site_fract_y
_atom_site_fract_z
_atom_site_occupancy
Pr1 0.0000 0.0000 0.0000 1
Ag1 0.0000 0.5000 0.7500 1
Ag2 0.1363 0.2495 0.4092 1
Cl1 0.0126 0.2017 0.6960 1
Cl2 0.0258 0.2926 0.0968 1

Number 1: size of the total moment 0.00 μB/f.u., D(E_F) 1.803 states/eV/cell. Number 2: size of the total moment 0.00 μB/f.u., D(E_F) 0.000 states/eV/cell.